MgTaSi2 (PBE, optimized geometry); SG = No. 12; uncorrected formation energy = -12 meV per atom; calculated total energy = -24.3 eV/cell; magnetization = 0.00 μB/cell
1.0
4.355 -1.593 0.000
4.355 1.593 0.000
-1.261 0.000 5.165
Mg Ta Si
1 1 2
Direct
0.000 0.000 0.000
0.500 0.500 0.500
0.239 0.239 0.673
0.761 0.761 0.327